Computed, not measured: a relaxed Pr2SmSnN crystal at the PBE level of DFT.

Cell: 4.934 5.062 5.062 Å, 90.00 90.00 90.00°
Positions (direct):
Pr: 0.000 0.000 0.500
Pr: 0.000 0.500 0.000
Sm: 0.500 0.000 0.000
Sn: 0.500 0.500 0.500
N: 0.000 0.000 0.000

Formation energy from raw total energies: -0.95 eV/atom
Electronic total energy: -6.274 eV/atom
SG: P4/mmm (123)
DOS(E_F): 1.903 states/eV/f.u.


Computed, not measured: a relaxed Pr2SmSnN4 crystal at the PBE level of DFT.

Cell: 3.621 6.328 12.622 Å, 90.00 90.00 106.62°
Positions (direct):
Pr: 0.370 0.740 0.534
Pr: 0.630 0.260 0.034
Pr: 0.630 0.260 0.466
Pr: 0.370 0.740 0.966
Sm: 0.121 0.241 0.750
Sm: 0.879 0.759 0.250
Sn: 0.854 0.708 0.750
Sn: 0.146 0.292 0.250
N: 0.272 0.544 0.133
N: 0.728 0.456 0.633
N: 0.728 0.456 0.867
N: 0.272 0.544 0.367
N: 0.000 0.000 0.500
N: 0.000 0.000 0.000
N: 0.452 0.904 0.750
N: 0.548 0.096 0.250

Formation energy from raw total energies: -0.71 eV/atom
Electronic total energy: -7.153 eV/atom
SG: Cmcm (63)
DOS(E_F): 1.943 states/eV/f.u.


Computed, not measured: a relaxed Pr2Sm4Sn3N2 crystal at the PBE level of DFT.

Cell: 4.837 4.837 13.381 Å, 100.41 100.41 90.00°
Positions (direct):
Pr: 0.307 0.307 0.615
Pr: 0.693 0.693 0.385
Sm: 0.417 0.917 0.834
Sm: 0.917 0.417 0.834
Sm: 0.083 0.583 0.166
Sm: 0.583 0.083 0.166
Sn: 0.000 0.000 0.000
Sn: 0.175 0.175 0.351
Sn: 0.825 0.825 0.649
N: 0.399 0.399 0.798
N: 0.601 0.601 0.202

Formation energy from raw total energies: -0.97 eV/atom
Electronic total energy: -6.160 eV/atom
SG: I4/mmm (139)
DOS(E_F): 1.653 states/eV/f.u.


Q: Which value of electronic total energy does entry 2 give?
A: -7.153 eV/atom


Q: Which value of formation energy from raw total energies does entry 1 give?
A: -0.95 eV/atom


Q: Number 2 is which compound?
A: Pr2SmSnN4


Q: What is the formation energy from raw total energies in the third record?
A: -0.97 eV/atom